Record 1
DFT (PBE) results for crystalline PrPuTe2Cl at its relaxed geometry.

a = 4.4656 Å, b = 4.4656 Å, c = 15.3450 Å
α = 90.00°, β = 90.00°, γ = 90.00°
Last column: nearest neighbours and their distance in Å.
Fractional positions:
Pr1 0.2500 0.2500 0.0967  6 Te 3.17-3.29
Pr2 0.7500 0.7500 0.9033  6 Te 3.17-3.29
Pu1 0.2500 0.2500 0.6255  4 Cl 2.95
Pu2 0.7500 0.7500 0.3745  4 Cl 2.95
Te1 0.2500 0.2500 0.3042  1 Pr 3.18, 4 Pu 3.34
Te2 0.2500 0.2500 0.8825  5 Pr 3.17-3.29
Te3 0.7500 0.7500 0.1175  5 Pr 3.17-3.29
Te4 0.7500 0.7500 0.6958  1 Pr 3.18, 4 Pu 3.34
Cl1 0.2500 0.7500 0.5000  4 Pu 2.95, 4 Cl 3.16
Cl2 0.7500 0.2500 0.5000  4 Pu 2.95, 4 Cl 3.16

Output
DOS at the Fermi energy   28.5 states/eV per cell
Theoretical density   7.33 g cm⁻³
Uncorrected energy   -6.8786 eV per atom

=====

Record 2
DFT (PBE) results for crystalline CeLu3Ru at its relaxed geometry.

a = 5.2849 Å, b = 5.2849 Å, c = 5.2849 Å
α = 90.00°, β = 90.00°, γ = 90.00°
Last column: nearest neighbours and their distance in Å.
Fractional positions:
Ce1 0.0000 0.0000 0.0000  12 Lu 3.74
Lu1 0.0000 0.5000 0.5000  2 Ru 2.64
Lu2 0.5000 0.0000 0.5000  2 Ru 2.64
Lu3 0.5000 0.5000 0.0000  2 Ru 2.64
Ru1 0.5000 0.5000 0.5000  6 Lu 2.64

Output
Energy of formation   -0.077 eV per atom
DOS at the Fermi energy   10.5 states/eV per cell
Theoretical density   8.62 g cm⁻³

=====

Record 3
DFT (PBE) results for crystalline Ca2NdH at its relaxed geometry.

a = 3.5995 Å, b = 3.5995 Å, c = 29.9766 Å
α = 90.00°, β = 90.00°, γ = 120.00°
Last column: nearest neighbours and their distance in Å.
Fractional positions:
Ca1 0.0000 0.0000 0.1172  3 H 2.55
Ca2 0.0000 0.0000 0.8828  3 H 2.55
Ca3 0.3333 0.6667 0.5495  3 H 2.55
Ca4 0.3333 0.6667 0.7838  3 H 2.55
Ca5 0.6667 0.3333 0.2162  3 H 2.55
Ca6 0.6667 0.3333 0.4505  3 H 2.55
Nd1 0.0000 0.0000 0.0000  2 Ca 3.51, 6 Nd 3.60
Nd2 0.3333 0.6667 0.6667  2 Ca 3.51, 6 Nd 3.60
Nd3 0.6667 0.3333 0.3333  2 Ca 3.51, 6 Nd 3.60
H1 0.0000 0.0000 0.5000  6 Ca 2.55
H2 0.3333 0.6667 0.1667  6 Ca 2.55
H3 0.6667 0.3333 0.8333  6 Ca 2.55

Output
DOS at the Fermi energy   11.9 states/eV per cell
Theoretical density   3.34 g cm⁻³
Uncorrected energy   -3.0034 eV per atom

=====

Record 4
DFT (PBE) results for crystalline RbTbPr2 at its relaxed geometry.

a = 3.7212 Å, b = 3.7212 Å, c = 40.8207 Å
α = 90.00°, β = 90.00°, γ = 120.00°
Last column: nearest neighbours and their distance in Å.
Fractional positions:
Rb1 0.0000 0.0000 0.0000  6 Rb 3.72, 2 Pr 3.93
Rb2 0.3333 0.6667 0.6667  6 Rb 3.72, 2 Pr 3.93
Rb3 0.6667 0.3333 0.3333  6 Rb 3.72, 2 Pr 3.93
Tb1 0.0000 0.0000 0.5000  6 Pr 3.59, 6 Tb 3.72
Tb2 0.3333 0.6667 0.1667  6 Pr 3.59, 6 Tb 3.72
Tb3 0.6667 0.3333 0.8333  6 Pr 3.59, 6 Tb 3.72
Pr1 0.0000 0.0000 0.0962  3 Tb 3.59, 6 Pr 3.72, 1 Rb 3.93
Pr2 0.0000 0.0000 0.9038  3 Tb 3.59, 6 Pr 3.72, 1 Rb 3.93
Pr3 0.3333 0.6667 0.5705  3 Tb 3.59, 6 Pr 3.72, 1 Rb 3.93
Pr4 0.3333 0.6667 0.7628  3 Tb 3.59, 6 Pr 3.72, 1 Rb 3.93
Pr5 0.6667 0.3333 0.2372  3 Tb 3.59, 6 Pr 3.72, 1 Rb 3.93
Pr6 0.6667 0.3333 0.4295  3 Tb 3.59, 6 Pr 3.72, 1 Rb 3.93

Output
Energy of formation   0.232 eV per atom
DOS at the Fermi energy   13.1 states/eV per cell
Theoretical density   5.35 g cm⁻³

=====

Record 5
DFT (PBE) results for crystalline Rb2TaHgTe4 at its relaxed geometry.

a = 14.9644 Å, b = 13.6350 Å, c = 8.0758 Å
α = 82.91°, β = 64.71°, γ = 32.38°
Last column: nearest neighbours and their distance in Å.
Fractional positions:
Rb1 0.0581 0.0581 0.6919  6 Te 3.90-4.17
Rb2 0.3081 0.3081 0.9419  6 Te 3.90-4.17
Rb3 0.6919 0.6919 0.0581  6 Te 3.90-4.17
Rb4 0.9419 0.9419 0.3081  6 Te 3.90-4.17
Ta1 0.3750 0.3750 0.3750  4 Te 2.65
Ta2 0.6250 0.6250 0.6250  4 Te 2.65
Hg1 0.1250 0.1250 0.1250  4 Te 2.97
Hg2 0.8750 0.8750 0.8750  4 Te 2.97
Te1 0.0018 0.3635 0.4529  1 Ta 2.65
Te2 0.3181 0.5471 0.6365  1 Ta 2.65
Te3 0.3635 0.0018 0.6819  1 Ta 2.65
Te4 0.4529 0.6819 0.0018  1 Ta 2.65
Te5 0.5471 0.3181 0.9982  1 Ta 2.65
Te6 0.6365 0.9982 0.3181  1 Ta 2.65
Te7 0.6819 0.4529 0.3635  1 Ta 2.65
Te8 0.9982 0.6365 0.5471  1 Ta 2.65

Output
DOS at the Fermi energy   6.5 states/eV per cell
Theoretical density   5.07 g cm⁻³
Uncorrected energy   -3.8312 eV per atom

=====

Record 6
DFT (PBE) results for crystalline Np2CuAs4Rh3 at its relaxed geometry.

a = 4.2809 Å, b = 4.2809 Å, c = 9.8922 Å
α = 90.00°, β = 90.00°, γ = 90.00°
Last column: nearest neighbours and their distance in Å.
Fractional positions:
Np1 0.0000 0.5000 0.2492  8 As 3.23-3.28, 2 Cu 3.26, 6 Rh 3.26-3.29
Np2 0.5000 0.0000 0.7508  8 As 3.23-3.28, 2 Cu 3.26, 6 Rh 3.26-3.29
Cu1 0.5000 0.5000 0.0000  4 As 2.52
As1 0.0000 0.0000 0.5000  4 Rh 2.46
As2 0.0000 0.5000 0.8656  3 Rh 2.41-2.52, 2 Cu 2.52
As3 0.5000 0.0000 0.1344  3 Rh 2.41-2.52, 2 Cu 2.52
As4 0.5000 0.5000 0.5000  4 Rh 2.46
Rh1 0.0000 0.0000 0.0000  4 As 2.52
Rh2 0.0000 0.5000 0.6216  5 As 2.41-2.46
Rh3 0.5000 0.0000 0.3784  5 As 2.41-2.46

Output
Energy of formation   -0.470 eV per atom
DOS at the Fermi energy   21.9 states/eV per cell
Theoretical density   10.50 g cm⁻³

=====

Record 7
DFT (PBE) results for crystalline FeAgPt2 at its relaxed geometry.

a = 9.3162 Å, b = 2.8060 Å, c = 4.8233 Å
α = 90.00°, β = 101.05°, γ = 90.00°
Last column: nearest neighbours and their distance in Å.
Fractional positions:
Fe1 0.0000 0.0000 0.0000  7 Pt 2.67-2.85, 2 Fe 2.81, 3 Ag 2.84-2.85
Fe2 0.5000 0.5000 0.0000  7 Pt 2.67-2.85, 2 Fe 2.81, 3 Ag 2.84-2.85
Ag1 0.2448 0.0000 0.7289  7 Pt 2.75-2.83, 2 Ag 2.81, 3 Fe 2.84-2.85
Ag2 0.7448 0.5000 0.7289  7 Pt 2.75-2.83, 2 Ag 2.81, 3 Fe 2.84-2.85
Pt1 0.2391 0.5000 0.2177  3 Fe 2.67-2.83, 4 Ag 2.75-2.83, 5 Pt 2.80-2.87
Pt2 0.4879 0.0000 0.4816  4 Fe 2.73-2.85, 3 Ag 2.75-2.83, 5 Pt 2.80-2.87
Pt3 0.7391 0.0000 0.2177  3 Fe 2.67-2.83, 4 Ag 2.75-2.83, 5 Pt 2.80-2.87
Pt4 0.9879 0.5000 0.4816  4 Fe 2.73-2.85, 3 Ag 2.75-2.83, 5 Pt 2.80-2.87

Output
Energy of formation   -0.001 eV per atom
DOS at the Fermi energy   6.9 states/eV per cell
Theoretical density   14.86 g cm⁻³

=====

Record 8
DFT (PBE) results for crystalline HgGeH2 at its relaxed geometry.

a = 5.9109 Å, b = 5.9109 Å, c = 5.9109 Å
α = 90.00°, β = 90.00°, γ = 90.00°
Last column: nearest neighbours and their distance in Å.
Fractional positions:
Hg1 0.0000 0.0000 0.0000  8 H 2.56
Hg2 0.0000 0.5000 0.5000  8 H 2.56
Hg3 0.5000 0.0000 0.5000  8 H 2.56
Hg4 0.5000 0.5000 0.0000  8 H 2.56
Ge1 0.0000 0.0000 0.5000  8 H 2.56
Ge2 0.0000 0.5000 0.0000  8 H 2.56
Ge3 0.5000 0.0000 0.0000  8 H 2.56
Ge4 0.5000 0.5000 0.5000  8 H 2.56
H1 0.2500 0.2500 0.2500  4 Ge 2.56, 4 Hg 2.56
H2 0.2500 0.2500 0.7500  4 Ge 2.56, 4 Hg 2.56
H3 0.2500 0.7500 0.2500  4 Ge 2.56, 4 Hg 2.56
H4 0.2500 0.7500 0.7500  4 Ge 2.56, 4 Hg 2.56
H5 0.7500 0.2500 0.2500  4 Ge 2.56, 4 Hg 2.56
H6 0.7500 0.2500 0.7500  4 Ge 2.56, 4 Hg 2.56
H7 0.7500 0.7500 0.2500  4 Ge 2.56, 4 Hg 2.56
H8 0.7500 0.7500 0.7500  4 Hg 2.56, 4 Ge 2.56

Output
DOS at the Fermi energy   4.4 states/eV per cell
Theoretical density   8.85 g cm⁻³
Uncorrected energy   -2.1076 eV per atom